Li11Cd4Ag9: relaxed, GGA-PBE.

Cell lengths 3.020, 11.945, 11.945 Å; angles 107.39, 90.00, 90.00 degrees
Fractional coordinates of all 24 atoms:
Li  0.000  0.595  0.957
Li  0.000  0.405  0.043
Li  0.000  0.957  0.595
Li  0.000  0.043  0.405
Li  0.000  0.633  0.367
Li  0.000  0.367  0.633
Li  0.000  0.813  0.187
Li  0.000  0.187  0.813
Li  0.000  0.000  0.000
Li  0.000  0.801  0.801
Li  0.000  0.199  0.199
Cd  0.500  0.588  0.752
Cd  0.500  0.412  0.248
Cd  0.500  0.752  0.588
Cd  0.500  0.248  0.412
Ag  0.500  0.615  0.159
Ag  0.500  0.385  0.841
Ag  0.500  0.159  0.615
Ag  0.500  0.841  0.385
Ag  0.500  0.797  0.991
Ag  0.500  0.203  0.009
Ag  0.500  0.991  0.797
Ag  0.500  0.009  0.203
Ag  0.500  0.500  0.500

Results
energy of formation from the pure elements: -195 meV per atom
symmetry: Cmmm (65)


Cr2AgAu: relaxed, GGA-PBE.

Cell lengths 2.956, 5.095, 5.675 Å; angles 52.85, 90.00, 90.00 degrees
Site moments in Bohr magnetons follow the coordinates.
Fractional coordinates of all 4 atoms:
Ag  0.500  0.500  0.500  0.09
Au  0.000  0.000  0.500  0.10
Cr  0.000  0.000  0.000  3.44
Cr  0.500  0.500  0.000  3.31

Results
energy of formation from the pure elements: 558 meV per atom
symmetry: P2/m (10)
energy above the most stable polymorph in this dataset: 1.516 eV per formula unit